Entry 1:
Here is a geometry-optimized ReTcOF2 structure from Alexandria. Energies are from PBE.

The electronic total energy is -32.1 eV for the cell shown. For the density of states at the Fermi level, the calculation gives 0.839 states/eV per atom. The formation energy from raw total energies is -0.1211 eV per atom. For the energy relative to the lowest polymorph listed for this composition, the calculation gives 0.0000 eV/atom. The calculation puts the magnetization at 4.20 μB per formula unit.

It has space group P4/mmm (No. 123), with a = 4.367 Å, b = 4.367 Å, c = 3.772 Å, α = 90.00°, β = 90.00° and γ = 90.00°. The distinct sites, in fractional coordinates, are Re at (0.000, 0.000, 0.000), Tc at (0.500, 0.500, 0.500), O at (0.000, 0.000, 0.500) and F at (0.000, 0.500, 0.000).



Entry 2:
Here is a geometry-optimized ReTcOF2 structure from Alexandria. Energies are from PBE.

The electronic total energy is -31.0 eV for the cell shown. For the density of states at the Fermi level, the calculation gives 0.704 states/eV per atom. The formation energy from raw total energies is 0.1019 eV per atom. For the energy relative to the lowest polymorph listed for this composition, the calculation gives 0.2230 eV/atom. The calculation puts the magnetization at 5.16 μB per formula unit.

It has space group P4/mmm (No. 123), with a = 4.445 Å, b = 4.445 Å, c = 3.743 Å, α = 90.00°, β = 90.00° and γ = 90.00°. The distinct sites, in fractional coordinates, are Re at (0.000, 0.000, 0.000), Tc at (0.500, 0.500, 0.500), O at (0.500, 0.500, 0.000) and F at (0.000, 0.500, 0.500).



Entry 3:
Here is a geometry-optimized ReTcO2F structure from Alexandria. Energies are from PBE.

The electronic total energy is -36.1 eV for the cell shown. For the density of states at the Fermi level, the calculation gives 0.479 states/eV per atom. The formation energy from raw total energies is -0.2971 eV per atom. The calculation puts the magnetization at 4.40 μB per formula unit.

It has space group P4/mmm (No. 123), with a = 3.806 Å, b = 3.806 Å, c = 4.852 Å, α = 90.00°, β = 90.00° and γ = 90.00°. The distinct sites, in fractional coordinates, are Re at (0.000, 0.000, 0.000), Tc at (0.500, 0.500, 0.500), O at (0.000, 0.500, 0.000) and F at (0.000, 0.000, 0.500).



Entry 4:
Here is a geometry-optimized ReTcO2F structure from Alexandria. Energies are from PBE.

The electronic total energy is -33.9 eV for the cell shown. For the density of states at the Fermi level, the calculation gives 0.704 states/eV per atom. The formation energy from raw total energies is 0.1312 eV per atom. The calculation puts the magnetization at 4.43 μB per formula unit.

It has space group P4/mmm (No. 123), with a = 3.898 Å, b = 3.898 Å, c = 4.384 Å, α = 90.00°, β = 90.00° and γ = 90.00°. The distinct sites, in fractional coordinates, are Re at (0.000, 0.000, 0.000), Tc at (0.500, 0.500, 0.500), O at (0.000, 0.500, 0.500) and F at (0.500, 0.500, 0.000).



Copy entry 4 word for word.
Here is a geometry-optimized ReTcO2F structure from Alexandria. Energies are from PBE.

The electronic total energy is -33.9 eV for the cell shown. For the density of states at the Fermi level, the calculation gives 0.704 states/eV per atom. The formation energy from raw total energies is 0.1312 eV per atom. The calculation puts the magnetization at 4.43 μB per formula unit.

It has space group P4/mmm (No. 123), with a = 3.898 Å, b = 3.898 Å, c = 4.384 Å, α = 90.00°, β = 90.00° and γ = 90.00°. The distinct sites, in fractional coordinates, are Re at (0.000, 0.000, 0.000), Tc at (0.500, 0.500, 0.500), O at (0.000, 0.500, 0.500) and F at (0.500, 0.500, 0.000).



Which of these has the lowest formation energy from raw total energies? number 3



Which formula does entry 4 have? ReTcO2F



Which of these has the lowest magnetization? number 1